1.
The following is a PBE calculation of RbAgAsAu after structural relaxation, from Alexandria.

- Size of the total moment: 0.00 μB/cell
- ΔE_f: -0.83 eV/f.u.

a b c (Å): 4.737 4.864 10.041
angles (deg): 90.00 90.00 90.00
Space group Imm2 (No. 44)
Asymmetric unit:
Rb (0.000, 0.000, 0.000) x2
Ag (0.000, 0.000, 0.342) x2
As (0.000, 0.500, 0.244) x2
Au (0.000, 0.000, 0.656) x2

2.
The following is a PBE calculation of Li2AlRe after structural relaxation, from Alexandria.

- Size of the total moment: 0.00 μB/cell
- ΔE_f: 0.24 eV/f.u.

a b c (Å): 2.664 2.664 8.862
angles (deg): 90.00 90.00 90.00
Space group P4mm (No. 99)
Asymmetric unit:
Li (0.000, 0.000, 0.000) x1
Li (0.500, 0.500, 0.293) x1
Al (0.500, 0.500, 0.761) x1
Re (0.000, 0.000, 0.535) x1

3.
The following is a PBE calculation of GeSbTe2Ir after structural relaxation, from Alexandria.

- Size of the total moment: 0.00 μB/cell
- Energy above the most stable polymorph in this dataset: 0 meV/atom
- ΔE_f (raw): 579 meV/atom

a b c (Å): 5.430 5.430 4.946
angles (deg): 90.00 90.00 90.00
Space group P4/mmm (No. 123)
Asymmetric unit:
Ge (0.000, 0.000, 0.000) x1
Sb (0.500, 0.500, 0.000) x1
Te (0.000, 0.500, 0.500) x2
Ir (0.500, 0.500, 0.500) x1

4.
The following is a PBE calculation of Sm3Al3Cu2 after structural relaxation, from Alexandria.

- Size of the total moment: 0.00 μB/cell
- ΔE_f: -3.01 eV/f.u.
- Energy above the most stable polymorph in this dataset: 0 meV/atom

a b c (Å): 4.500 10.355 14.976
angles (deg): 90.00 90.00 90.00
Space group Cmcm (No. 63)
Asymmetric unit:
Sm (0.000, 0.096, 0.111) x8
Sm (0.000, 0.387, 0.250) x4
Al (0.000, 0.316, 0.750) x4
Al (0.000, 0.380, 0.036) x8
Cu (0.000, 0.200, 0.598) x8

5.
The following is a PBE calculation of Pr3AlOs3 after structural relaxation, from Alexandria.

- Size of the total moment: 0.00 μB/cell
- ΔE_f: -1.27 eV/f.u.

a b c (Å): 4.491 10.900 13.407
angles (deg): 90.00 90.00 90.00
Space group Cmcm (No. 63)
Asymmetric unit:
Pr (0.000, 0.021, 0.250) x4
Pr (0.000, 0.271, 0.607) x8
Al (0.000, 0.000, 0.000) x4
Os (0.000, 0.335, 0.250) x4
Os (0.000, 0.436, 0.085) x8

6.
The following is a PBE calculation of RbGaBiPb after structural relaxation, from Alexandria.

- Size of the total moment: 0.00 μB/cell
- ΔE_f: -0.39 eV/f.u.

a b c (Å): 4.707 4.707 14.062
angles (deg): 90.00 90.00 90.00
Space group P4/nmm (No. 129, origin choice 2)
Asymmetric unit:
Rb (0.250, 0.250, 0.239) x2
Ga (0.250, 0.750, 0.500) x2
Bi (0.250, 0.250, 0.620) x2
Pb (0.250, 0.750, 0.000) x2

7.
The following is a PBE calculation of UIrS4 after structural relaxation, from Alexandria.

- Size of the total moment: 1.01 μB/cell
- Energy above the most stable polymorph in this dataset: 0 meV/atom
- ΔE_f (raw): -914 meV/atom

a b c (Å): 5.748 3.757 7.472
angles (deg): 90.00 109.53 90.00
Space group P2/m (No. 10)
Asymmetric unit:
U (0.000, 0.000, 0.000) x1
Ir (0.500, 0.500, 0.000) x1
S (0.078, 0.500, 0.782) x2
S (0.462, 0.000, 0.199) x2

8.
The following is a PBE calculation of TaCdSn3 after structural relaxation, from Alexandria.

- Size of the total moment: 2.58 μB/cell
- ΔE_f: 7.00 eV/f.u.
- Energy above the most stable polymorph in this dataset: 1032 meV/atom

a b c (Å): 5.358 5.358 5.358
angles (deg): 90.00 90.00 90.00
Space group Pm-3m (No. 221)
Asymmetric unit:
Ta (0.000, 0.000, 0.000) x1
Cd (0.500, 0.500, 0.500) x1
Sn (0.000, 0.500, 0.500) x3

9.
The following is a PBE calculation of SmPa2Re after structural relaxation, from Alexandria.

- Size of the total moment: 0.00 μB/cell
- ΔE_f: 1.19 eV/f.u.
- Energy above the most stable polymorph in this dataset: 154 meV/atom

a b c (Å): 3.8174 3.8174 26.5308
angles (deg): 90.00 90.00 120.00
Space group R-3m (No. 166, hexagonal axes)
Asymmetric unit:
Sm (0.0000, 0.0000, 0.0000) x3
Pa (0.0000, 0.0000, 0.2284) x6
Re (0.0000, 0.0000, 0.5000) x3

10.
The following is a PBE calculation of SrAc4Tc after structural relaxation, from Alexandria.

- Size of the total moment: 0.00 μB/cell
- ΔE_f: 0.55 eV/f.u.

a b c (Å): 19.263 8.181 6.820
angles (deg): 90.00 108.25 90.00
Space group C2/m (No. 12)
Asymmetric unit:
Sr (0.196, 0.000, 0.178) x4
Ac (0.000, 0.255, 0.000) x4
Ac (0.109, 0.244, 0.611) x8
Ac (0.179, 0.500, 0.209) x4
Tc (0.030, 0.500, 0.358) x4

11.
The following is a PBE calculation of CaSb3Cl after structural relaxation, from Alexandria.

- Size of the total moment: 0.00 μB/cell
- Energy above the most stable polymorph in this dataset: 0 meV/atom
- ΔE_f (raw): 153 meV/atom

a b c (Å): 5.372 5.372 5.372
angles (deg): 90.00 90.00 90.00
Space group Pm-3m (No. 221)
Asymmetric unit:
Ca (0.000, 0.000, 0.000) x1
Sb (0.000, 0.500, 0.500) x3
Cl (0.500, 0.500, 0.500) x1

12.
The following is a PBE calculation of ZnCu after structural relaxation, from Alexandria.

- Size of the total moment: 0.00 μB/cell
- ΔE_f: 1.30 eV/f.u.

a b c (Å): 5.558 5.558 5.558
angles (deg): 90.00 90.00 90.00
Space group F-43m (No. 216)
Asymmetric unit:
Zn (0.000, 0.000, 0.000) x4
Cu (0.250, 0.250, 0.250) x4

13.
The following is a PBE calculation of Tb3ErTm12 after structural relaxation, from Alexandria.

- Size of the total moment: 0.00 μB/cell
- ΔE_f: 0.39 eV/f.u.

a b c (Å): 4.943 4.943 19.779
angles (deg): 90.00 90.00 90.00
Space group P4/mmm (No. 123)
Asymmetric unit:
Tb (0.000, 0.000, 0.000) x1
Tb (0.000, 0.000, 0.250) x2
Er (0.000, 0.000, 0.500) x1
Tm (0.000, 0.500, 0.125) x4
Tm (0.000, 0.500, 0.376) x4
Tm (0.500, 0.500, 0.000) x1
Tm (0.500, 0.500, 0.251) x2
Tm (0.500, 0.500, 0.500) x1

14.
The following is a PBE calculation of RbH2O2 after structural relaxation, from Alexandria.

- Size of the total moment: 0.06 μB/cell
- Calculated total energy: -4.3083 eV/atom

a b c (Å): 6.847 8.276 5.374
angles (deg): 90.00 125.99 90.00
Space group C2/m (No. 12)
Asymmetric unit:
Rb (0.000, 0.224, 0.000) x4
H (0.000, 0.072, 0.500) x4
H (0.193, 0.500, 0.412) x4
O (0.000, 0.406, 0.500) x4
O (0.199, 0.000, 0.662) x4

15.
The following is a PBE calculation of ThNpP2Ir5 after structural relaxation, from Alexandria.

- Size of the total moment: 3.84 μB/cell
- ΔE_f: -5.04 eV/f.u.

a b c (Å): 4.052 4.052 11.048
angles (deg): 90.00 90.00 90.00
Space group P4/mmm (No. 123)
Asymmetric unit:
Th (0.000, 0.000, 0.000) x1
Np (0.000, 0.000, 0.500) x1
P (0.500, 0.500, 0.293) x2
Ir (0.000, 0.500, 0.198) x4
Ir (0.500, 0.500, 0.500) x1

16.
The following is a PBE calculation of Pr3P4Rh7 after structural relaxation, from Alexandria.

- Size of the total moment: 0.00 μB/cell
- ΔE_f: -13.59 eV/f.u.

a b c (Å): 15.336 4.022 9.426
angles (deg): 90.00 125.44 90.00
Space group C2/m (No. 12)
Asymmetric unit:
Pr (0.000, 0.000, 0.000) x2
Pr (0.173, 0.500, 0.671) x4
P (0.109, 0.000, 0.827) x4
P (0.165, 0.500, 0.280) x4
Rh (0.000, 0.000, 0.500) x2
Rh (0.006, 0.500, 0.269) x4
Rh (0.169, 0.000, 0.421) x4
Rh (0.198, 0.500, 0.044) x4

17.
The following is a PBE calculation of TiTe2SI after structural relaxation, from Alexandria.

- Size of the total moment: 0.00 μB/cell
- Energy above the most stable polymorph in this dataset: 0 meV/atom
- ΔE_f (raw): 257 meV/atom

a b c (Å): 5.346 5.346 5.238
angles (deg): 90.00 90.00 90.00
Space group P4/mmm (No. 123)
Asymmetric unit:
Ti (0.000, 0.000, 0.000) x1
Te (0.000, 0.500, 0.000) x2
S (0.500, 0.500, 0.500) x1
I (0.000, 0.000, 0.500) x1

18.
The following is a PBE calculation of NiBSe2 after structural relaxation, from Alexandria.

- Size of the total moment: 0.00 μB/cell
- ΔE_f (raw): 293 meV/atom

a b c (Å): 3.8241 3.8241 18.3942
angles (deg): 90.00 90.00 120.00
Space group R-3m (No. 166, hexagonal axes)
Asymmetric unit:
Ni (0.0000, 0.0000, 0.0000) x3
B (0.0000, 0.0000, 0.5000) x3
Se (0.0000, 0.0000, 0.3998) x6

19.
The following is a PBE calculation of Tb2Pr2HoTm2 after structural relaxation, from Alexandria.

- Size of the total moment: 0.00 μB/cell
- ΔE_f: 0.59 eV/f.u.

a b c (Å): 11.718 3.521 11.862
angles (deg): 90.00 109.42 90.00
Space group C2/m (No. 12)
Asymmetric unit:
Tb (0.050, 0.000, 0.267) x4
Pr (0.170, 0.000, 0.585) x4
Ho (0.000, 0.500, 0.000) x2
Tm (0.227, 0.500, 0.866) x4

20.
The following is a PBE calculation of Pm12P3H5 after structural relaxation, from Alexandria.

- Size of the total moment: 0.01 μB/cell
- Calculated total energy: -5.0336 eV/atom

a b c (Å): 15.425 15.425 15.425
angles (deg): 90.00 90.00 90.00
Space group Ia-3d (No. 230)
Asymmetric unit:
Pm (0.035, 0.063, 0.655) x96
P (0.000, 0.250, 0.125) x24
H (0.000, 0.000, 0.000) x16
H (0.000, 0.250, 0.375) x24